Entry 1:
## Mg2Zr (PBE)

Data for a relaxed Mg2Zr crystal.

Values from the calculation:
- volume (Å³/cell) = 134
- VASP energy (eV/atom) = -3.752

abc: 5.4480 5.4480 5.2102
angles: 90.00 90.00 120.00
With the nearest neighbours (Å) after each atom.
Space group P-62m (No. 189)
Symmetry-distinct sites (fractional):
Mg1 0.0000 0.0000 0.0000 (multiplicity 1)  6 Zr 3.15, 6 Mg 3.17
Mg2 0.0000 0.3324 0.5000 (multiplicity 3)  8 Mg 3.14-3.17, 4 Zr 3.18
Zr1 0.3333 0.6667 0.0000 (multiplicity 2)  9 Mg 3.15-3.18, 3 Zr 3.15

=====

Entry 2:
## MgZr (PBE)

Data for a relaxed MgZr crystal.

Values from the calculation:
- volume (Å³/cell) = 181
- VASP energy (eV/atom) = -4.957

abc: 6.3936 6.3936 5.1038
angles: 90.00 90.00 120.00
With the nearest neighbours (Å) after each atom.
Space group P-6m2 (No. 187)
Symmetry-distinct sites (fractional):
Mg1 0.0000 0.0000 0.0000 (multiplicity 1)  6 Mg 3.19, 6 Zr 3.20
Mg2 0.1724 0.3447 0.5000 (multiplicity 3)  6 Mg 3.09-3.31, 6 Zr 3.16-3.20
Zr1 0.5068 0.0136 0.0000 (multiplicity 3)  6 Zr 3.07-3.33, 6 Mg 3.16-3.20
Zr2 0.6667 0.3333 0.5000 (multiplicity 1)  6 Zr 3.11, 6 Mg 3.20

=====

Entry 3:
## MgZr (PBE)

Data for a relaxed MgZr crystal.

Values from the calculation:
- volume (Å³/cell) = 89
- VASP energy (eV/atom) = -4.963

abc: 5.2040 3.0648 5.5533
angles: 90.00 90.00 90.00
With the nearest neighbours (Å) after each atom.
Space group Pmma (No. 51)
Symmetry-distinct sites (fractional):
Mg1 0.2500 0.0000 0.1659 (multiplicity 2)  4 Mg 3.06-3.19, 8 Zr 3.16-3.19
Zr1 0.2500 0.5000 0.6628 (multiplicity 2)  4 Zr 3.06-3.17, 8 Mg 3.16-3.19